Entry 1:
Ca6Se3S2Cl after structural relaxation, computed with GGA-PBE.

The magnetic moment is 0.00 μB per cell. The value obtained for the total energy is -4.7108 eV per atom. The crystal system is monoclinic.

The space group is C2/m (No. 12) and the conventional cell measures 17.945, 4.130 and 8.249 Å, with angles of 90.00, 102.93 and 90.00 degrees. The inequivalent atoms are Ca at (0.004, 0.000, 0.262), Ca at (0.169, 0.500, 0.578), Ca at (0.172, 0.500, 0.095), Se at (0.000, 0.500, 0.500), Se at (0.162, 0.000, 0.835), S at (0.166, 0.000, 0.331) and Cl at (0.000, 0.500, 0.000).


Entry 2:
SmHo2Tm6 after structural relaxation, computed with GGA-PBE.

The magnetic moment is 0.00 μB per cell. The value obtained for the total energy is -4.4911 eV per atom. As for the formation energy: 32 meV per atom. The crystal system is orthorhombic.

The space group is Cmmm (No. 65) and the conventional cell measures 5.431, 29.057 and 3.525 Å, with angles of 90.00, 90.00 and 90.00 degrees. The inequivalent atoms are Sm at (0.000, 0.000, 0.000), Ho at (0.000, 0.324, 0.000), Tm at (0.000, 0.112, 0.000), Tm at (0.000, 0.215, 0.500) and Tm at (0.000, 0.436, 0.500).


Entry 3:
Zn3GaPd3 after structural relaxation, computed with GGA-PBE.

The magnetic moment is 0.00 μB per cell. The value obtained for the total energy is -3.6765 eV per atom. As for the formation energy: -473 meV per atom. The crystal system is trigonal.

The space group is R-3m (No. 166, hexagonal axes) and the conventional cell measures 8.5555, 8.5555 and 5.2933 Å, with angles of 90.00, 90.00 and 120.00 degrees. The inequivalent atoms are Zn at (0.0000, 0.5000, 0.0000), Ga at (0.0000, 0.0000, 0.0000) and Pd at (0.0000, 0.5000, 0.5000).